Li2CaP2 after structural relaxation. Source: Alexandria via LeMat-Bulk, functional GGA-PBEsol.

Properties
The value obtained for the total energy is -4.36 eV/atom. The total magnetic moment comes out at 0.00 μB per formula unit.

Geometry as CIF:
```
data_Li2CaP2
_chemical_formula_sum 'Li4 Ca2 P4'
_space_group_name_H-M_alt 'I 4/m m m'
_space_group_IT_number 139
_space_group_name_Hall '-I 4 2'
_cell_length_a 4.0207
_cell_length_b 4.0207
_cell_length_c 10.3191
_cell_angle_alpha 90.00
_cell_angle_beta 90.00
_cell_angle_gamma 90.00
loop_
_atom_site_label
_atom_site_type_symbol
_atom_site_fract_x
_atom_site_fract_y
_atom_site_fract_z
Li1 Li 0.0000 0.5000 0.2500
Ca1 Ca 0.0000 0.0000 0.0000
P1 P 0.0000 0.0000 0.3909
```